## 1
! CeDy4Ho5 GGA-PBE relaxed; values from VASP
&SYSTEM
  ibrav = 0, nat = 10, ntyp = 3
/
ATOMIC_SPECIES
Ce 140.12 Ce.upf
Dy 162.50 Dy.upf
Ho 164.93 Ho.upf
CELL_PARAMETERS angstrom
3.377 0.000 -0.736
0.245 10.727 1.122
0.152 1.702 8.814
ATOMIC_POSITIONS crystal
Ce 0.500 0.000 0.000
Dy 0.304 0.083 0.608
Dy 0.907 0.806 0.814
Dy 0.696 0.917 0.392
Dy 0.093 0.194 0.186
Ho 0.793 0.599 0.586
Ho 0.895 0.287 0.789
Ho 0.105 0.713 0.211
Ho 0.500 0.500 0.000
Ho 0.207 0.401 0.414
! volume = 31.37 A^3/atom
! M_tot = 0.38 Bohr magnetons per cell
! space-group type = C2/m, No. 12



## 2
! CeDy4Ho5 GGA-PBE relaxed; values from VASP
&SYSTEM
  ibrav = 0, nat = 10, ntyp = 3
/
ATOMIC_SPECIES
Ce 140.12 Ce.upf
Dy 162.50 Dy.upf
Ho 164.93 Ho.upf
CELL_PARAMETERS angstrom
5.835 0.000 0.000
2.917 7.401 0.000
2.917 0.000 7.401
ATOMIC_POSITIONS crystal
Ce 0.201 0.000 0.000
Dy 0.454 0.326 0.674
Dy 0.780 0.674 0.674
Dy 0.128 0.326 0.326
Dy 0.454 0.674 0.326
Ho 0.770 0.373 0.000
Ho 0.143 0.000 0.627
Ho 0.770 0.000 0.373
Ho 0.143 0.627 0.000
Ho 0.669 0.000 0.000
! volume = 31.96 A^3/atom
! M_tot = 0.13 Bohr magnetons per cell
! space-group type = I4mm, No. 107



Which is the most stable structure? 1 is the most stable.